The following is a GGA-PBE calculation of a geometry-optimized Ta2FeIr structure, from Alexandria via LeMat-Bulk.

Cell: 3.2040 3.2040 6.1573 Å, 90.00 90.00 90.00°
With the nearest neighbours (Å) after each atom.
Space group P4mm (No. 99)
Asymmetric unit:
Ta1 0.0000 0.0000 0.0000 x1  4 Ir 2.69, 4 Ta 2.90
Ta2 0.5000 0.5000 0.2932 x1  4 Fe 2.63, 1 Ir 2.90, 4 Ta 2.90
Fe1 0.0000 0.0000 0.5099 x1  4 Ta 2.63, 4 Ir 2.75
Ir1 0.5000 0.5000 0.7636 x1  5 Ta 2.69-2.90, 4 Fe 2.75

DFT total energy ... -10.503 eV/atom
Density ... 16.0 Mg/m³
Magnetic moment ... 2.26 μB per cell
Crystal system ... tetragonal

***

The following is a GGA-PBE calculation of a geometry-optimized YTmCd structure, from Alexandria via LeMat-Bulk.

Cell: 3.5480 3.4894 27.4742 Å, 90.00 90.00 90.00°
With the nearest neighbours (Å) after each atom.
Space group Amm2 (No. 38)
Asymmetric unit:
Y1 0.0000 0.0000 0.0000 x2  4 Cd 3.24, 4 Y 3.49-3.55, 2 Tm 3.50
Y2 0.0000 0.0000 0.1510 x2  8 Cd 3.24-3.25, 4 Y 3.49-3.55
Tm1 0.0000 0.0000 0.3025 x2  4 Cd 3.24, 8 Tm 3.46-3.55
Tm2 0.5000 0.0000 0.8902 x2  8 Tm 3.46-3.55, 2 Y 3.50
Cd1 0.5000 0.0000 0.5754 x2  8 Y 3.24, 4 Cd 3.49-3.55
Cd2 0.5000 0.0000 0.7272 x2  4 Tm 3.24, 4 Y 3.25, 4 Cd 3.49-3.55

Density ... 7.2 Mg/m³
Energy above the lowest structure with this stoichiometry ... 81 meV per atom
Magnetic moment ... 1.15 μB per cell
Crystal system ... orthorhombic